The following is a PBE-GGA calculation of crystalline LaNdSi2Au2 at its relaxed geometry, from OQMD.

a b c (Å): 4.3734 4.3734 8.3360
angles (deg): 90.00 90.00 120.00
Element x y z (fractional)
Au 0.3333 0.6667 0.2554
Au 0.6667 0.3333 0.7446
La 0.0000 0.0000 0.0000
Nd 0.0000 0.0000 0.5000
Si 0.6667 0.3333 0.2535
Si 0.3333 0.6667 0.7465

Properties
As for the total energy: -32.086 eV for the cell shown. The space group is P-3m1 (164).